No. 1
Li2YSb2: single point on PBEsol structure, meta-GGA SCAN.

Output
The value obtained for the density of states at the Fermi level is 4.18 states/eV/cell. The theoretical density comes out at 5.22 g cm⁻³. The total energy is -22.135 eV per atom. For the raw formation energy, the calculation gives -0.707 eV/atom.

```
data_Li2YSb2
_symmetry_space_group_name_H-M 'I 4/m m m'
_symmetry_Int_Tables_number 139
_symmetry_space_group_name_Hall '-I 4 2'
_cell_length_a 4.130
_cell_length_b 4.130
_cell_length_c 12.928
_cell_angle_alpha 90.00
_cell_angle_beta 90.00
_cell_angle_gamma 90.00
loop_
_atom_site_label
_atom_site_fract_x
_atom_site_fract_y
_atom_site_fract_z
Li1 0.000 0.500 0.250
Y1 0.000 0.000 0.000
Sb1 0.000 0.000 0.386
```


No. 2
Li2Zn2Sb: single point on PBEsol structure, meta-GGA SCAN.

Output
The value obtained for the density of states at the Fermi level is 2.75 states/eV/cell. The theoretical density comes out at 5.16 g cm⁻³. The total energy is -14.010 eV per atom. For the raw formation energy, the calculation gives -0.196 eV/atom.

```
data_Li2Zn2Sb
_symmetry_space_group_name_H-M 'P 4/m b m'
_symmetry_Int_Tables_number 127
_symmetry_space_group_name_Hall '-P 4 2ab'
_cell_length_a 7.298
_cell_length_b 7.298
_cell_length_c 3.222
_cell_angle_alpha 90.00
_cell_angle_beta 90.00
_cell_angle_gamma 90.00
loop_
_atom_site_label
_atom_site_fract_x
_atom_site_fract_y
_atom_site_fract_z
Li1 0.171 0.329 0.000
Zn1 0.121 0.621 0.500
Sb1 0.000 0.000 0.500
```


No. 3
LiZnSb3: single point on PBEsol structure, meta-GGA SCAN.

Output
The value obtained for the density of states at the Fermi level is 1.80 states/eV/cell. The theoretical density comes out at 6.06 g cm⁻³. The total energy is -25.080 eV per atom. For the raw formation energy, the calculation gives 0.457 eV/atom.

```
data_LiZnSb3
_symmetry_space_group_name_H-M 'P m -3 m'
_symmetry_Int_Tables_number 221
_symmetry_space_group_name_Hall '-P 4 2 3'
_cell_length_a 4.930
_cell_length_b 4.930
_cell_length_c 4.930
_cell_angle_alpha 90.00
_cell_angle_beta 90.00
_cell_angle_gamma 90.00
loop_
_atom_site_label
_atom_site_fract_x
_atom_site_fract_y
_atom_site_fract_z
Li1 0.000 0.000 0.000
Zn1 0.500 0.500 0.500
Sb1 0.000 0.000 0.500
```


No. 4
LiZrSb2: single point on PBEsol structure, meta-GGA SCAN.

Output
For the energy above the lowest structure with this stoichiometry, the calculation gives 0.061 eV per atom. The value obtained for the density of states at the Fermi level is 1.58 states/eV/cell. The theoretical density comes out at 6.50 g cm⁻³. The total energy is -27.384 eV per atom. For the raw formation energy, the calculation gives -0.482 eV/atom.

```
data_LiZrSb2
_symmetry_space_group_name_H-M 'P 1 m 1'
_symmetry_Int_Tables_number 6
_cell_length_a 3.175
_cell_length_b 4.982
_cell_length_c 5.739
_cell_angle_alpha 90.00
_cell_angle_beta 105.82
_cell_angle_gamma 90.00
loop_
_symmetry_equiv_pos_as_xyz
'x,y,z'
'x,-y,z'
loop_
_atom_site_label
_atom_site_fract_x
_atom_site_fract_y
_atom_site_fract_z
Li1 0.000 0.000 0.000
Zr1 0.830 0.500 0.640
Sb1 0.270 0.000 0.518
Sb2 0.550 0.500 0.093
```


No. 5
LiZrSb2: single point on PBEsol structure, meta-GGA SCAN.

Output
For the energy above the lowest structure with this stoichiometry, the calculation gives 0.148 eV per atom. The value obtained for the density of states at the Fermi level is 5.09 states/eV/cell. The theoretical density comes out at 6.68 g cm⁻³. The total energy is -27.297 eV per atom. For the raw formation energy, the calculation gives -0.394 eV/atom.

```
data_LiZrSb2
_symmetry_space_group_name_H-M 'I 4/m m m'
_symmetry_Int_Tables_number 139
_symmetry_space_group_name_Hall '-I 4 2'
_cell_length_a 4.537
_cell_length_b 4.537
_cell_length_c 8.253
_cell_angle_alpha 90.00
_cell_angle_beta 90.00
_cell_angle_gamma 90.00
loop_
_atom_site_label
_atom_site_fract_x
_atom_site_fract_y
_atom_site_fract_z
Li1 0.000 0.000 0.000
Zr1 0.000 0.000 0.500
Sb1 0.000 0.500 0.250
```


No. 6
LiZr2Sb: single point on PBEsol structure, meta-GGA SCAN.

Output
The value obtained for the density of states at the Fermi level is 5.36 states/eV/cell. The theoretical density comes out at 6.53 g cm⁻³. The total energy is -25.677 eV per atom. For the raw formation energy, the calculation gives -0.415 eV/atom.

```
data_LiZr2Sb
_symmetry_space_group_name_H-M 'I 4/m m m'
_symmetry_Int_Tables_number 139
_symmetry_space_group_name_Hall '-I 4 2'
_cell_length_a 4.219
_cell_length_b 4.219
_cell_length_c 8.887
_cell_angle_alpha 90.00
_cell_angle_beta 90.00
_cell_angle_gamma 90.00
loop_
_atom_site_label
_atom_site_fract_x
_atom_site_fract_y
_atom_site_fract_z
Li1 0.000 0.000 0.000
Zr1 0.000 0.500 0.250
Sb1 0.000 0.000 0.500
```


No. 7
LiZrSb2: single point on PBEsol structure, meta-GGA SCAN.

Output
For the energy above the lowest structure with this stoichiometry, the calculation gives 0.000 eV per atom. The value obtained for the density of states at the Fermi level is 1.56 states/eV/cell. The theoretical density comes out at 6.39 g cm⁻³. The total energy is -27.445 eV per atom. For the raw formation energy, the calculation gives -0.542 eV/atom.

```
data_LiZrSb2
_symmetry_space_group_name_H-M 'C m m m'
_symmetry_Int_Tables_number 65
_symmetry_space_group_name_Hall '-C 2 2'
_cell_length_a 4.066
_cell_length_b 5.143
_cell_length_c 8.494
_cell_angle_alpha 90.00
_cell_angle_beta 90.00
_cell_angle_gamma 90.00
loop_
_atom_site_label
_atom_site_fract_x
_atom_site_fract_y
_atom_site_fract_z
Li1 0.000 0.000 0.000
Zr1 0.000 0.000 0.500
Sb1 0.000 0.500 0.254
```


No. 8
LiSc3: single point on PBEsol structure, meta-GGA SCAN.

Output
For the energy above the lowest structure with this stoichiometry, the calculation gives 0.095 eV per atom. The value obtained for the density of states at the Fermi level is 4.90 states/eV/cell. The theoretical density comes out at 2.63 g cm⁻³. The total energy is -11.074 eV per atom. The value obtained for the calculated formation energy is 0.202 eV per atom.

```
data_LiSc3
_symmetry_space_group_name_H-M 'P 4/m m m'
_symmetry_Int_Tables_number 123
_symmetry_space_group_name_Hall '-P 4 2'
_cell_length_a 5.040
_cell_length_b 5.040
_cell_length_c 3.521
_cell_angle_alpha 90.00
_cell_angle_beta 90.00
_cell_angle_gamma 90.00
loop_
_atom_site_label
_atom_site_fract_x
_atom_site_fract_y
_atom_site_fract_z
Li1 0.000 0.000 0.000
Sc1 0.000 0.500 0.500
Sc2 0.500 0.500 0.000
```


No. 9
LiSc5: single point on PBEsol structure, meta-GGA SCAN.

Output
The value obtained for the density of states at the Fermi level is 12.93 states/eV/cell. The theoretical density comes out at 2.80 g cm⁻³. The total energy is -12.164 eV per atom. The value obtained for the calculated formation energy is 0.099 eV per atom.

```
data_LiSc5
_symmetry_space_group_name_H-M 'C 1 m 1'
_symmetry_Int_Tables_number 8
_cell_length_a 11.403
_cell_length_b 3.277
_cell_length_c 7.722
_cell_angle_alpha 90.00
_cell_angle_beta 107.64
_cell_angle_gamma 90.00
loop_
_symmetry_equiv_pos_as_xyz
'x,y,z'
'x,-y,z'
'x+1/2,y+1/2,z'
'x+1/2,-y+1/2,z'
loop_
_atom_site_label
_atom_site_fract_x
_atom_site_fract_y
_atom_site_fract_z
Li1 0.000 0.000 0.000
Sc1 0.115 0.500 0.741
Sc2 0.145 0.500 0.340
Sc3 0.293 0.000 0.082
Sc4 0.326 0.000 0.680
Sc5 0.428 0.500 0.423
```


No. 10
Li3Sc4: single point on PBEsol structure, meta-GGA SCAN.

Output
The value obtained for the density of states at the Fermi level is 12.09 states/eV/cell. The theoretical density comes out at 2.23 g cm⁻³. The total energy is -9.046 eV per atom. The value obtained for the calculated formation energy is 0.113 eV per atom.

```
data_Li3Sc4
_symmetry_space_group_name_H-M 'I 4/m m m'
_symmetry_Int_Tables_number 139
_symmetry_space_group_name_Hall '-I 4 2'
_cell_length_a 3.337
_cell_length_b 3.337
_cell_length_c 26.886
_cell_angle_alpha 90.00
_cell_angle_beta 90.00
_cell_angle_gamma 90.00
loop_
_atom_site_label
_atom_site_fract_x
_atom_site_fract_y
_atom_site_fract_z
Li1 0.000 0.000 0.000
Li2 0.000 0.000 0.278
Sc1 0.000 0.000 0.148
Sc2 0.000 0.000 0.429
```


No. 11
LiSc7: single point on PBEsol structure, meta-GGA SCAN.

Output
The value obtained for the density of states at the Fermi level is 51.98 states/eV/cell. The theoretical density comes out at 2.90 g cm⁻³. The total energy is -12.601 eV per atom. The value obtained for the calculated formation energy is 0.156 eV per atom.

```
data_LiSc7
_symmetry_space_group_name_H-M 'F m -3 m'
_symmetry_Int_Tables_number 225
_symmetry_space_group_name_Hall '-F 4 2 3'
_cell_length_a 9.035
_cell_length_b 9.035
_cell_length_c 9.035
_cell_angle_alpha 90.00
_cell_angle_beta 90.00
_cell_angle_gamma 90.00
loop_
_atom_site_label
_atom_site_fract_x
_atom_site_fract_y
_atom_site_fract_z
Li1 0.000 0.000 0.000
Sc1 0.000 0.000 0.500
Sc2 0.000 0.250 0.250
```


No. 12
LiSc3: single point on PBEsol structure, meta-GGA SCAN.

Output
For the energy above the lowest structure with this stoichiometry, the calculation gives 0.006 eV per atom. The value obtained for the density of states at the Fermi level is 4.63 states/eV/cell. The theoretical density comes out at 2.64 g cm⁻³. The total energy is -11.163 eV per atom. The value obtained for the calculated formation energy is 0.112 eV per atom.

```
data_LiSc3
_symmetry_space_group_name_H-M 'P 4/m m m'
_symmetry_Int_Tables_number 123
_symmetry_space_group_name_Hall '-P 4 2'
_cell_length_a 3.249
_cell_length_b 3.249
_cell_length_c 8.455
_cell_angle_alpha 90.00
_cell_angle_beta 90.00
_cell_angle_gamma 90.00
loop_
_atom_site_label
_atom_site_fract_x
_atom_site_fract_y
_atom_site_fract_z
Li1 0.000 0.000 0.000
Sc1 0.000 0.000 0.500
Sc2 0.500 0.500 0.240
```


> Look up the theoretical density of the eighth one.

2.63 g cm⁻³